No. 1
Compound: La2CuHIr
Source: Alexandria via LeMat-Bulk
Functional: PBE
Structure: optimized geometry

abc: 5.2257 5.2257 3.6490
angles: 90.00 90.00 90.00
Fractional positions:
1 La 0.0000 0.5000 0.0000
2 La 0.5000 0.0000 0.0000
3 Cu 0.0000 0.0000 0.5000
4 H 0.5000 0.5000 0.0000
5 Ir 0.5000 0.5000 0.5000

## Properties
- Energy relative to the lowest polymorph listed for this composition: 3 kJ/mol of formula units
- DOS(E_F): 2.528 states/eV per cell

No. 2
Compound: LaCuH6Ir
Source: Alexandria via LeMat-Bulk
Functional: PBE
Structure: optimized geometry

abc: 4.6922 4.6922 4.4342
angles: 90.00 90.00 120.00
Fractional positions:
1 La 0.0000 0.0000 0.0000
2 Cu 0.6667 0.3333 0.5000
3 H 0.0120 0.5060 0.2454
4 H 0.0120 0.5060 0.7546
5 H 0.4940 0.5060 0.2454
6 H 0.4940 0.5060 0.7546
7 H 0.4940 0.9880 0.2454
8 H 0.4940 0.9880 0.7546
9 Ir 0.3333 0.6667 0.5000

## Properties
- DOS(E_F): 1.301 states/eV per cell
- Total DFT energy (no corrections): -4.576 eV/atom

No. 3
Compound: LiCu2H6Ir
Source: Alexandria via LeMat-Bulk
Functional: PBE
Structure: optimized geometry

abc: 4.5653 4.5906 5.0132
angles: 94.42 116.29 113.25
Fractional positions:
1 Li 0.0000 0.0000 0.0000
2 Cu 0.4714 0.1740 0.7138
3 Cu 0.4924 0.6176 0.4162
4 H 0.0973 0.6435 0.0805
5 H 0.1533 0.3525 0.4698
6 H 0.4331 0.4086 0.0283
7 H 0.5414 0.9330 0.9776
8 H 0.7794 0.1547 0.6186
9 H 0.9585 0.7496 0.5467
10 Ir 0.1617 0.5544 0.7891

## Properties
- Total DFT energy (no corrections): -4.013 eV/atom

No. 4
Compound: LiCu2H5Ir
Source: Alexandria via LeMat-Bulk
Functional: PBE
Structure: optimized geometry

abc: 5.3568 5.3568 5.3568
angles: 140.21 128.48 67.01
Fractional positions:
1 Li 0.0000 0.0000 0.0000
2 Cu 0.2795 0.7795 0.5000
3 Cu 0.7205 0.2205 0.5000
4 H 0.0994 0.3736 0.7258
5 H 0.3523 0.6264 0.7258
6 H 0.5000 0.0000 0.5000
7 H 0.6477 0.3736 0.2742
8 H 0.9006 0.6264 0.2742
9 Ir 0.5000 0.5000 0.0000

## Properties
- DOS(E_F): 1.277 states/eV per cell
- Total DFT energy (no corrections): -4.001 eV/atom

No. 5
Compound: Li2CuHIr
Source: Alexandria via LeMat-Bulk
Functional: PBE
Structure: optimized geometry

abc: 3.7675 3.7675 3.7168
angles: 90.00 90.00 90.00
Fractional positions:
1 Li 0.0000 0.5000 0.0000
2 Li 0.5000 0.0000 0.0000
3 Cu 0.0000 0.0000 0.5000
4 H 0.5000 0.5000 0.0000
5 Ir 0.5000 0.5000 0.5000

## Properties
- DOS(E_F): 1.573 states/eV per cell
- Total DFT energy (no corrections): -4.183 eV/atom

No. 6
Compound: LiCu2H8Ir
Source: Alexandria via LeMat-Bulk
Functional: PBE
Structure: optimized geometry

abc: 4.4384 5.1475 5.6642
angles: 65.85 86.61 79.45
Fractional positions:
1 Li 0.0000 0.0000 0.0000
2 Cu 0.4991 0.2295 0.2821
3 Cu 0.5009 0.7705 0.7179
4 H 0.1203 0.7816 0.7528
5 H 0.1762 0.5385 0.2384
6 H 0.2935 0.0251 0.4924
7 H 0.3009 0.2588 0.9747
8 H 0.6991 0.7412 0.0253
9 H 0.7065 0.9749 0.5076
10 H 0.8238 0.4615 0.7616
11 H 0.8797 0.2184 0.2472
12 Ir 0.0000 0.5000 0.0000

## Properties
- Total DFT energy (no corrections): -3.834 eV/atom

Size of the total moment list, top to bottom, in μB per cell: 0.0, 0.0, 0.0, 0.0, 0.0, 0.0
Density list, top to bottom, in g/cm3: 8.91, 7.87, 6.70, 7.25, 8.52, 4.78